[1]
# LiPmCd6 GGA-PBE relaxed
data_LiPmCd6
_cell_length_a 4.846
_cell_length_b 7.658
_cell_length_c 4.846
_cell_angle_alpha 90.00
_cell_angle_beta 90.00
_cell_angle_gamma 90.00
_space_group_name_H-M_alt 'P m m 2'
_space_group_IT_number 25
loop_
_space_group_symop_operation_xyz
'x,y,z'
'-x,-y,z'
'-x,y,z'
'x,-y,z'
loop_
_atom_site_label
_atom_site_type_symbol
_atom_site_fract_x
_atom_site_fract_y
_atom_site_fract_z
Li1 Li 0.000 0.000 0.000
Pm1 Pm 0.500 0.500 0.503
Cd1 Cd 0.000 0.225 0.501
Cd2 Cd 0.000 0.500 0.002
Cd3 Cd 0.500 0.000 0.504
Cd4 Cd 0.500 0.225 0.003
# VASP energy = -1.76 eV/atom
# energy of formation from the pure elements = -0.243 eV per atom
# excess energy over the best structure of this formula in the dataset = 0 meV/atom

[2]
# BaZn GGA-PBE relaxed
data_BaZn
_cell_length_a 7.513
_cell_length_b 7.513
_cell_length_c 7.513
_cell_angle_alpha 90.00
_cell_angle_beta 90.00
_cell_angle_gamma 90.00
_space_group_name_H-M_alt 'F -4 3 m'
_space_group_IT_number 216
_space_group_name_Hall 'F -4 2 3'
loop_
_atom_site_label
_atom_site_type_symbol
_atom_site_fract_x
_atom_site_fract_y
_atom_site_fract_z
Ba1 Ba 0.000 0.000 0.000
Zn1 Zn 0.250 0.250 0.250
# VASP energy = -1.30 eV/atom
# energy of formation from the pure elements = 0.296 eV per atom

[3]
# TlSnHgBr6 GGA-PBE relaxed
data_TlSnHgBr6
_cell_length_a 7.089
_cell_length_b 7.776
_cell_length_c 7.813
_cell_angle_alpha 63.21
_cell_angle_beta 85.78
_cell_angle_gamma 79.82
_space_group_name_H-M_alt 'P 1'
_space_group_IT_number 1
loop_
_space_group_symop_operation_xyz
'x,y,z'
loop_
_atom_site_label
_atom_site_type_symbol
_atom_site_fract_x
_atom_site_fract_y
_atom_site_fract_z
Tl1 Tl 0.000 0.000 0.000
Sn1 Sn 0.034 0.611 0.736
Hg1 Hg 0.530 0.353 0.326
Br1 Br 0.217 0.911 0.662
Br2 Br 0.281 0.322 0.973
Br3 Br 0.332 0.643 0.339
Br4 Br 0.701 0.034 0.359
Br5 Br 0.778 0.657 0.983
Br6 Br 0.845 0.406 0.619
# VASP energy = -2.43 eV/atom
# ΔE_f (raw) = -0.571 eV per atom

[4]
# Ag2Te4Au GGA-PBE relaxed
data_Ag2Te4Au
_cell_length_a 6.548
_cell_length_b 8.554
_cell_length_c 15.200
_cell_angle_alpha 90.00
_cell_angle_beta 90.00
_cell_angle_gamma 90.00
_space_group_name_H-M_alt 'I m m a'
_space_group_IT_number 74
_space_group_name_Hall '-I 2b 2'
loop_
_atom_site_label
_atom_site_type_symbol
_atom_site_fract_x
_atom_site_fract_y
_atom_site_fract_z
Ag1 Ag 0.000 0.000 0.000
Ag2 Ag 0.000 0.250 0.350
Te1 Te 0.000 0.005 0.224
Te2 Te 0.240 0.250 0.505
Au1 Au 0.250 0.250 0.750
# VASP energy = -3.01 eV/atom
# ΔE_f (raw) = 0.065 eV per atom
# excess energy over the best structure of this formula in the dataset = 0 meV/atom

[5]
# La5Tb4In GGA-PBE relaxed
data_La5Tb4In
_cell_length_a 10.530
_cell_length_b 10.530
_cell_length_c 6.172
_cell_angle_alpha 90.00
_cell_angle_beta 90.00
_cell_angle_gamma 90.00
_space_group_name_H-M_alt 'I 4 m m'
_space_group_IT_number 107
_space_group_name_Hall 'I 4 -2'
loop_
_atom_site_label
_atom_site_type_symbol
_atom_site_fract_x
_atom_site_fract_y
_atom_site_fract_z
La1 La 0.000 0.000 0.000
La2 La 0.190 0.190 0.754
Tb1 Tb 0.000 0.319 0.256
In1 In 0.000 0.000 0.487
# VASP energy = -4.46 eV/atom
# energy of formation from the pure elements = 0.129 eV per atom

[6]
# Rb3TeW GGA-PBE relaxed
data_Rb3TeW
_cell_length_a 6.933
_cell_length_b 6.933
_cell_length_c 6.933
_cell_angle_alpha 90.00
_cell_angle_beta 90.00
_cell_angle_gamma 90.00
_space_group_name_H-M_alt 'P m -3 m'
_space_group_IT_number 221
_space_group_name_Hall '-P 4 2 3'
loop_
_atom_site_label
_atom_site_type_symbol
_atom_site_fract_x
_atom_site_fract_y
_atom_site_fract_z
Rb1 Rb 0.000 0.000 0.500
Te1 Te 0.000 0.000 0.000
W1 W 0.500 0.500 0.500
# VASP energy = -2.98 eV/atom
# ΔE_f (raw) = 0.818 eV per atom
# excess energy over the best structure of this formula in the dataset = 0 meV/atom

[7]
# SrLiPrAg GGA-PBE relaxed
data_SrLiPrAg
_cell_length_a 7.764
_cell_length_b 7.764
_cell_length_c 7.764
_cell_angle_alpha 90.00
_cell_angle_beta 90.00
_cell_angle_gamma 90.00
_space_group_name_H-M_alt 'F -4 3 m'
_space_group_IT_number 216
_space_group_name_Hall 'F -4 2 3'
loop_
_atom_site_label
_atom_site_type_symbol
_atom_site_fract_x
_atom_site_fract_y
_atom_site_fract_z
Sr1 Sr 0.000 0.000 0.000
Li1 Li 0.250 0.250 0.250
Pr1 Pr 0.000 0.000 0.500
Ag1 Ag 0.250 0.250 0.750
# VASP energy = -2.86 eV/atom
# energy of formation from the pure elements = -0.058 eV per atom

Look up the VASP energy of the sixth one.
-2.98 eV/atom